Compound: HgMo3
Source: Alexandria
Functional: PBE-GGA
Structure: relaxed

Summary:
* formation energy: 1.527 eV per formula unit
* final energy: -31.27 eV for the cell shown
* ΔE to the lowest computed polymorph: 62.1 meV per atom
* ρ: 11769 kg/m3
* Fermi-level density of states: 0.9012 states/eV/atom

Lattice parameters (Å, degrees): 3.3614 3.3614 6.0990 90.00 90.00 90.00
Last column: nearest neighbours and their distance in Å.
Fractional coordinates of all 4 atoms:
Hg 0.0000 0.0000 0.0000  10 Mo 2.95-3.05
Mo 0.0000 0.0000 0.5000  8 Mo 2.71
Mo 0.5000 0.5000 0.2855  5 Mo 2.62-2.71
Mo 0.5000 0.5000 0.7145  5 Mo 2.62-2.71